(1)
DFT (PBE-GGA) results for Y2Sb2Te after structural relaxation.

Results
**Raw formation energy**: -806 meV/atom
**Spin magnetization**: 0.000 μB per formula unit
**Excess energy over the best structure of this formula in the dataset**: 0.1071 eV/atom
**Space-group type**: I4/mmm
**Density of states at the Fermi level**: 0.000 states/eV per atom

a b c (Å): 5.7172 5.7172 6.3617
angles (deg): 63.30 63.30 90.00
Fractional positions:
Y1 0.7500 0.2500 0.5000
Y2 0.2500 0.7500 0.5000
Sb1 0.3568 0.3568 0.2863
Sb2 0.6432 0.6432 0.7137
Te1 0.0000 0.0000 0.0000

---

(2)
DFT (PBE-GGA) results for Na4AsRh3O8 after structural relaxation.

Results
**Raw formation energy**: -1103 meV/atom
**Spin magnetization**: 0.000 μB per formula unit
**Space-group type**: R-3m
**Density of states at the Fermi level**: 0.105 states/eV per atom

a b c (Å): 6.3509 6.4448 6.3510
angles (deg): 119.51 120.00 90.00
Fractional positions:
Na1 0.5000 0.0000 0.0000
Na2 0.5000 0.0000 0.5000
Na3 0.0000 0.0000 0.0000
Na4 0.0000 0.0000 0.5000
As1 0.0000 0.5000 0.0000
Rh1 0.5000 0.5000 0.0000
Rh2 0.5000 0.5000 0.5000
Rh3 0.0000 0.5000 0.5000
O1 0.2403 0.7079 0.9676
O2 0.2403 0.7079 0.4805
O3 0.2691 0.3072 0.5381
O4 0.7273 0.7079 0.9676
O5 0.2727 0.2921 0.0324
O6 0.7309 0.6928 0.4619
O7 0.7597 0.2921 0.5195
O8 0.7597 0.2921 0.0324

---

(3)
DFT (PBE-GGA) results for CaAc2YTe4 after structural relaxation.

Results
**Raw formation energy**: -1467 meV/atom
**Spin magnetization**: 0.000 μB per formula unit
**Space-group type**: P2/m
**Density of states at the Fermi level**: 0.530 states/eV per atom

a b c (Å): 4.5273 7.8761 8.0567
angles (deg): 108.75 90.00 90.00
Fractional positions:
Ca1 0.5000 0.5000 0.0000
Ac1 0.5000 0.0000 0.5000
Ac2 0.0000 0.5000 0.5000
Y1 0.0000 0.0000 0.0000
Te1 0.5000 0.2406 0.2254
Te2 0.5000 0.7594 0.7746
Te3 0.0000 0.2554 0.7728
Te4 0.0000 0.7446 0.2272

---

(4)
DFT (PBE-GGA) results for MnBe2Ru after structural relaxation.

Results
**Spin magnetization**: 2.215 μB per formula unit
**Calculated formation energy**: 0.01 eV/atom
**Space-group type**: P2/m
**Density of states at the Fermi level**: 0.699 states/eV per atom

a b c (Å): 3.6611 2.5139 4.8150
angles (deg): 79.35 90.00 90.00
Fractional positions:
Ru1 0.5000 0.7500 0.7500
Mn1 0.5000 0.2500 0.2500
Be1 0.0000 0.9883 0.0024
Be2 0.0000 0.5117 0.4976